1.
Density functional theory data (GGA-PBE) for TbCe2Pm6Dy3 after structural relaxation.

It has space group C2/m (No. 12), with a = 6.229 Å, b = 10.791 Å, c = 11.900 Å, α = 90.00°, β = 100.10° and γ = 90.00°. Symmetry generates all atoms from Tb at (0.000, 0.000, 0.000), Ce at (0.000, 0.333, 0.000), Pm at (0.248, 0.500, 0.250), Pm at (0.249, 0.332, 0.751), Dy at (0.000, 0.166, 0.500) and Dy at (0.000, 0.500, 0.500).

For the total energy, the calculation gives -58.17 eV/f.u. The density of states at the Fermi level is 47.181 states/eV per cell.



2.
Density functional theory data (GGA-PBE) for Tb4CePmDy2 after structural relaxation.

It has space group P2/m (No. 10), with a = 6.162 Å, b = 3.558 Å, c = 11.830 Å, α = 90.00°, β = 99.99° and γ = 90.00°. Symmetry generates all atoms from Tb at (0.246, 0.000, 0.247), Tb at (0.248, 0.500, 0.752), Ce at (0.000, 0.500, 0.000), Pm at (0.000, 0.000, 0.500), Dy at (0.500, 0.000, 0.000) and Dy at (0.500, 0.500, 0.500).

For the total energy, the calculation gives -38.09 eV/f.u. The density of states at the Fermi level is 13.550 states/eV per cell.



3.
Density functional theory data (GGA-PBE) for TbCePmDy after structural relaxation.

It has space group F-43m (No. 216), with a = 8.065 Å, b = 8.065 Å, c = 8.065 Å, α = 90.00°, β = 90.00° and γ = 90.00°. Symmetry generates all atoms from Tb at (0.000, 0.000, 0.000), Ce at (0.000, 0.000, 0.500), Pm at (0.250, 0.250, 0.250) and Dy at (0.250, 0.250, 0.750).

For the total energy, the calculation gives -19.13 eV/f.u. The density of states at the Fermi level is 44.569 states/eV per cell.